VASP calculation (PBE) on a relaxed ErPa2In9 crystal.

Structure (extended XYZ):
```
12
Lattice="4.6396 0.0000 0.0000 0.0000 4.6396 0.0000 0.0000 0.0000 13.8913" Properties=species:S:1:pos:R:3 pbc="T T T"
Er 0.0000 0.0000 0.0000
Pa 0.0000 0.0000 4.6170
Pa 0.0000 0.0000 9.2743
In 0.0000 2.3198 2.2929
In 0.0000 2.3198 6.9456
In 0.0000 2.3198 11.5984
In 2.3198 0.0000 2.2929
In 2.3198 0.0000 6.9456
In 2.3198 0.0000 11.5984
In 2.3198 2.3198 0.0000
In 2.3198 2.3198 4.6332
In 2.3198 2.3198 9.2581
```

Values from the calculation:
**Symmetry**: P4/mmm
**Energy of formation**: -0.22 eV/atom
**Calculated volume**: 299.0 Å³/f.u.
**E_tot**: -4.2337 eV/atom

VASP calculation (PBE) on a relaxed ErPaIn2 crystal.

Structure (extended XYZ):
```
4
Lattice="1.6624 0.9598 10.8490 -1.6624 0.9598 10.8490 0.0000 -1.9195 10.8490" Properties=species:S:1:pos:R:3 pbc="T T T"
Er 0.0000 0.0000 0.0000
Pa 0.0000 0.0000 16.2735
In 0.0000 0.0000 8.1805
In 0.0000 0.0000 24.3664
```

Values from the calculation:
**Symmetry**: R-3m
**ΔE to the lowest computed polymorph**: 82 meV per atom
**Energy of formation**: -0.12 eV/atom
**Calculated volume**: 103.9 Å³/f.u.
**E_tot**: -5.0035 eV/atom

VASP calculation (PBE) on a relaxed ErPaIn4 crystal.

Structure (extended XYZ):
```
6
Lattice="0.0000 4.2347 4.2347 4.2347 0.0000 4.2347 4.2347 4.2347 0.0000" Properties=species:S:1:pos:R:3 pbc="T T T"
Er 0.0000 0.0000 0.0000
Pa 2.1174 2.1174 2.1174
In 5.2924 3.1770 3.1770
In 3.1770 5.2924 3.1770
In 3.1770 3.1770 5.2924
In 5.2924 5.2924 5.2924
```

Values from the calculation:
**Symmetry**: F-43m
**Energy of formation**: -0.06 eV/atom
**Calculated volume**: 151.9 Å³/f.u.
**E_tot**: -4.2248 eV/atom

VASP calculation (PBE) on a relaxed ErPaInPb crystal.

Structure (extended XYZ):
```
4
Lattice="0.0000 3.7907 3.7907 3.7907 0.0000 3.7907 3.7907 3.7907 0.0000" Properties=species:S:1:pos:R:3 pbc="T T T"
Er 0.0000 0.0000 0.0000
Pa 3.7907 3.7907 3.7907
In 5.6861 5.6861 5.6861
Pb 1.8954 1.8954 1.8954
```

Values from the calculation:
**Symmetry**: F-43m
**Energy of formation**: -0.05 eV/atom
**Calculated volume**: 108.9 Å³/f.u.
**E_tot**: -5.1725 eV/atom